# PBE-GGA SiSnIN2, relaxed
data_SiSnIN2
_space_group_name_H-M_alt 'P 4/m m m'
_space_group_IT_number 123
_space_group_name_Hall '-P 4 2'
_cell_length_a 3.984
_cell_length_b 3.984
_cell_length_c 5.378
_cell_angle_alpha 90.00
_cell_angle_beta 90.00
_cell_angle_gamma 90.00
loop_
_atom_site_label
_atom_site_fract_x
_atom_site_fract_y
_atom_site_fract_z
_atom_site_occupancy
Si1 0.000 0.000 0.000 1
Sn1 0.500 0.500 0.500 1
I1 0.000 0.000 0.500 1
N1 0.000 0.500 0.000 1
# ΔE to the lowest computed polymorph (meV per atom): 0.0
# Formation energy (no corrections) (eV per atom): 1.1074